(1)
Entry from Alexandria via LeMat-Bulk: a relaxed Li2NiPd6 crystal (PBE).

Total magnetic moment   1.7 μB per formula unit
Energy relative to the elements   -0.08 eV/atom
Final energy   -4.61 eV/atom
Energy relative to the lowest polymorph listed for this composition   0 meV per atom

Unit cell a=6.7889 b=6.7889 c=6.7401 alpha=85.51 beta=85.51 gamma=119.42
Last column: nearest neighbours and their distance in Å.
Sites, in units of the cell vectors:
Li 0.3189 0.6014 0.9683  7 Pd 2.54-2.84
Li 0.3986 0.6811 0.5317  7 Pd 2.54-2.84
Li 0.6811 0.3986 0.0317  7 Pd 2.54-2.84
Li 0.6014 0.3189 0.4683  7 Pd 2.54-2.84
Ni 0.0485 0.9515 0.2500  8 Pd 2.46-2.59
Ni 0.9515 0.0485 0.7500  8 Pd 2.46-2.59
Pd 0.6597 0.7335 0.1604  1 Ni 2.46, 2 Li 2.54-2.56, 1 Pd 2.75
Pd 0.2665 0.3403 0.3396  1 Ni 2.46, 2 Li 2.54-2.56, 1 Pd 2.75
Pd 0.3403 0.2665 0.8396  1 Ni 2.46, 2 Li 2.54-2.56, 1 Pd 2.75
Pd 0.7335 0.6597 0.6604  1 Ni 2.46, 2 Li 2.54-2.56, 1 Pd 2.75
Pd 0.0199 0.5607 0.3050  1 Ni 2.56, 2 Li 2.57-2.82, 5 Pd 2.64-2.85
Pd 0.4393 0.9801 0.1950  1 Ni 2.56, 2 Li 2.57-2.82, 5 Pd 2.64-2.85
Pd 0.9801 0.4393 0.6950  1 Ni 2.56, 2 Li 2.57-2.82, 5 Pd 2.64-2.85
Pd 0.5607 0.0199 0.8050  1 Ni 2.56, 2 Li 2.57-2.82, 5 Pd 2.64-2.85
Pd 0.2189 0.9350 0.5588  2 Ni 2.48-2.59, 2 Li 2.56-2.60, 2 Pd 2.63-2.68
Pd 0.0650 0.7811 0.9412  2 Ni 2.48-2.59, 2 Li 2.56-2.60, 2 Pd 2.63-2.68
Pd 0.7811 0.0650 0.4412  2 Ni 2.48-2.59, 2 Li 2.56-2.60, 2 Pd 2.63-2.68
Pd 0.9350 0.2189 0.0588  2 Ni 2.48-2.59, 2 Li 2.56-2.60, 2 Pd 2.63-2.68

(2)
Entry from Alexandria via LeMat-Bulk: a relaxed NdNiI crystal (PBE).

ΔE_f (raw)   -0.78 eV/atom
Total magnetic moment   0.0 μB per formula unit
Final energy   -4.81 eV/atom

Unit cell a=4.2555 b=3.9233 c=10.8016 alpha=90.00 beta=90.00 gamma=90.00
Last column: nearest neighbours and their distance in Å.
Sites, in units of the cell vectors:
Nd 0.2500 0.9998 0.8561  6 Ni 2.89-3.06
Nd 0.7500 0.0002 0.1439  6 Ni 2.89-3.06
Ni 0.2500 0.5001 0.0531  2 Ni 2.42
Ni 0.7500 0.4999 0.9469  2 Ni 2.42
I 0.7500 0.4988 0.6894  1 Ni 2.78
I 0.2500 0.5012 0.3106  1 Ni 2.78

(3)
Entry from Alexandria via LeMat-Bulk: a relaxed AcCuSbRh crystal (PBE).

ΔE_f (raw)   -0.35 eV/atom
Total magnetic moment   0.0 μB per formula unit
Final energy   -5.27 eV/atom

Unit cell a=4.9835 b=4.9835 c=4.9835 alpha=60.00 beta=60.00 gamma=60.00
Last column: nearest neighbours and their distance in Å.
Sites, in units of the cell vectors:
Sb 0.5000 0.5000 0.5000  4 Cu 3.05, 4 Rh 3.05
Ac 0.0000 0.0000 0.0000  4 Rh 3.05, 4 Cu 3.05
Rh 0.7500 0.7500 0.7500  4 Ac 3.05, 4 Sb 3.05
Cu 0.2500 0.2500 0.2500  4 Ac 3.05, 4 Sb 3.05

(4)
Entry from Alexandria via LeMat-Bulk: a relaxed Y2AlReAs crystal (PBE).

Total magnetic moment   0.0 μB per formula unit
Energy relative to the elements   0.17 eV/atom
Final energy   -6.58 eV/atom

Unit cell a=5.3296 b=4.5479 c=5.3296 alpha=90.00 beta=90.00 gamma=90.00
Last column: nearest neighbours and their distance in Å.
Sites, in units of the cell vectors:
Y 0.0000 0.0000 0.5000  2 As 2.66
Y 0.5000 0.0000 0.0000  2 As 2.66
Re 0.0000 0.5000 0.0000  2 As 2.27
As 0.0000 0.0000 0.0000  2 Re 2.27
Al 0.5000 0.5000 0.5000  8 Y 3.50, 4 Re 3.77

(5)
Entry from Alexandria via LeMat-Bulk: a relaxed KIn3Hg9 crystal (PBE).

Total magnetic moment   0.0 μB per formula unit
Energy relative to the elements   -0.05 eV/atom
Final energy   -0.97 eV/atom

Unit cell a=8.6322 b=8.6322 c=7.6326 alpha=84.10 beta=84.10 gamma=137.03
Last column: nearest neighbours and their distance in Å.
Sites, in units of the cell vectors:
K 0.0000 0.0000 0.0000  10 Hg 3.71-3.87
In 0.5000 0.5000 0.5000  6 Hg 3.03-3.16
In 0.5000 0.0000 0.0000  6 Hg 3.07-3.34, 2 In 3.16
In 0.0000 0.5000 0.0000  6 Hg 3.07-3.34, 2 In 3.16
Hg 0.4912 0.2762 0.2140  3 In 3.03-3.34, 3 Hg 3.18-3.32
Hg 0.5088 0.7238 0.7860  3 In 3.03-3.34, 3 Hg 3.18-3.32
Hg 0.7238 0.5088 0.7860  3 In 3.03-3.34, 3 Hg 3.18-3.32
Hg 0.2762 0.4912 0.2140  3 In 3.03-3.34, 3 Hg 3.18-3.32
Hg 0.0075 0.3576 0.6402  3 In 3.14-3.50, 4 Hg 3.17-3.41
Hg 0.9925 0.6424 0.3598  3 In 3.14-3.50, 4 Hg 3.17-3.41
Hg 0.6424 0.9925 0.3598  3 In 3.14-3.50, 4 Hg 3.17-3.41
Hg 0.3576 0.0075 0.6402  3 In 3.14-3.50, 4 Hg 3.17-3.41
Hg 0.0000 0.0000 0.5000  2 In 3.16, 8 Hg 3.26-3.33

(6)
Entry from Alexandria via LeMat-Bulk: a relaxed Mg3Zn2Cd7 crystal (PBE).

Total magnetic moment   0.0 μB per formula unit
Energy relative to the elements   0.04 eV/atom
Final energy   -1.11 eV/atom

Unit cell a=4.9224 b=4.9751 c=13.1579 alpha=100.44 beta=66.39 gamma=73.30
Last column: nearest neighbours and their distance in Å.
Sites, in units of the cell vectors:
Mg 0.5000 0.5000 0.0000  2 Zn 2.86, 6 Cd 2.90-3.07
Mg 0.7661 0.7508 0.3714  5 Cd 2.86-3.12, 1 Zn 3.11
Mg 0.2339 0.2492 0.6286  5 Cd 2.86-3.12, 1 Zn 3.11
Zn 0.8567 0.9684 0.7984  5 Cd 2.82-3.03, 2 Mg 2.86-3.11
Zn 0.1433 0.0316 0.2016  5 Cd 2.82-3.03, 2 Mg 2.86-3.11
Cd 0.2206 0.3608 0.8518  3 Mg 2.86-3.07, 2 Zn 2.89-3.17, 4 Cd 2.95-3.07
Cd 0.1200 0.7438 0.5340  3 Mg 2.90-3.05, 4 Cd 2.94-3.13, 1 Zn 3.03
Cd 0.0000 0.0000 0.0000  2 Mg 2.95, 4 Cd 2.98-3.03, 2 Zn 2.99
Cd 0.7794 0.6391 0.1482  3 Mg 2.86-3.07, 2 Zn 2.89-3.17, 4 Cd 2.95-3.07
Cd 0.4698 0.3095 0.2886  2 Zn 2.82-2.83, 4 Cd 2.95-3.07, 1 Mg 3.12
Cd 0.5302 0.6905 0.7114  2 Zn 2.82-2.83, 4 Cd 2.95-3.07, 1 Mg 3.12
Cd 0.8800 0.2562 0.4660  3 Mg 2.90-3.05, 4 Cd 2.94-3.13, 1 Zn 3.03

(7)
Entry from Alexandria via LeMat-Bulk: a relaxed TlZn2InIr crystal (PBE).

Total magnetic moment   0.0 μB per formula unit
Energy relative to the elements   0.03 eV/atom
Final energy   -3.27 eV/atom

Unit cell a=4.9283 b=4.9283 c=5.1376 alpha=90.00 beta=90.00 gamma=90.00
Last column: nearest neighbours and their distance in Å.
Sites, in units of the cell vectors:
Tl 0.5000 0.5000 0.5000  4 In 3.48, 8 Zn 3.56
Ir 0.0000 0.0000 0.0000  4 Zn 2.46, 2 In 2.57
Zn 0.0000 0.5000 0.0000  2 Ir 2.46
Zn 0.5000 0.0000 0.0000  2 Ir 2.46
In 0.0000 0.0000 0.5000  2 Ir 2.57

(8)
Entry from Alexandria via LeMat-Bulk: a relaxed CeInGe4 crystal (PBE).

Total magnetic moment   1.1 μB per formula unit
Energy relative to the elements   -0.17 eV/atom
Final energy   -4.69 eV/atom

Unit cell a=5.6622 b=5.6622 c=5.6622 alpha=60.00 beta=60.00 gamma=60.00
Last column: nearest neighbours and their distance in Å.
Sites, in units of the cell vectors:
Ge 0.6251 0.6251 0.1246  6 Ge 2.83
Ge 0.6251 0.1246 0.6251  6 Ge 2.83
Ge 0.6251 0.6251 0.6251  6 Ge 2.83
Ge 0.1246 0.6251 0.6251  6 Ge 2.83
Ce 0.2500 0.2500 0.2500  12 Ge 3.32, 4 In 3.47
In 0.0000 0.0000 0.0000  12 Ge 3.32, 4 Ce 3.47

(9)
Entry from Alexandria via LeMat-Bulk: a relaxed Na2SnSb2 crystal (PBE).

ΔE_f (raw)   -0.25 eV/atom
Total magnetic moment   0.0 μB per formula unit
Final energy   -3.22 eV/atom
Energy relative to the lowest polymorph listed for this composition   0 meV per atom

Unit cell a=5.1615 b=6.7587 c=9.9721 alpha=75.26 beta=75.00 gamma=67.55
Last column: nearest neighbours and their distance in Å.
Sites, in units of the cell vectors:
Na 0.3285 0.2618 0.0812  4 Sb 3.22-3.42
Na 0.4868 0.3404 0.6859  4 Sb 3.28-3.41, 2 Sn 3.62
Na 0.6715 0.7382 0.9188  4 Sb 3.22-3.42
Na 0.5132 0.6596 0.3141  4 Sb 3.28-3.41, 2 Sn 3.62
Sn 0.8010 0.0568 0.3411  4 Sb 2.97-3.18
Sn 0.1990 0.9432 0.6589  4 Sb 2.97-3.18
Sb 0.9544 0.1992 0.8920  1 Sb 2.95, 1 Sn 2.97, 4 Na 3.22-3.28
Sb 0.1363 0.3102 0.4172  3 Sn 2.97-3.18, 1 Sb 3.08, 1 Na 3.30
Sb 0.0456 0.8008 0.1080  1 Sb 2.95, 1 Sn 2.97, 4 Na 3.22-3.28
Sb 0.8637 0.6898 0.5828  3 Sn 2.97-3.18, 1 Sb 3.08, 1 Na 3.30

(10)
Entry from Alexandria via LeMat-Bulk: a relaxed Ce2SnRu crystal (PBE).

Total magnetic moment   0.0 μB per formula unit
Energy relative to the elements   -0.38 eV/atom
Final energy   -6.67 eV/atom
Energy relative to the lowest polymorph listed for this composition   104 meV per atom

Unit cell a=4.4506 b=4.4821 c=4.4821 alpha=90.00 beta=90.00 gamma=90.00
Last column: nearest neighbours and their distance in Å.
Sites, in units of the cell vectors:
Ru 0.5000 0.5000 0.5000  8 Ce 3.16, 4 Sn 3.17
Sn 0.5000 0.0000 0.0000  8 Ce 3.16, 4 Ru 3.17
Ce 0.0000 0.0000 0.5000  4 Sn 3.16, 4 Ru 3.16, 4 Ce 3.17
Ce 0.0000 0.5000 0.0000  4 Sn 3.16, 4 Ru 3.16, 4 Ce 3.17

(11)
Entry from Alexandria via LeMat-Bulk: a relaxed AcCeGeBr crystal (PBE).

ΔE_f (raw)   -0.87 eV/atom
Total magnetic moment   1.4 μB per formula unit
Final energy   -4.96 eV/atom
Energy relative to the lowest polymorph listed for this composition   0 meV per atom

Unit cell a=5.3885 b=5.3885 c=5.3885 alpha=60.00 beta=60.00 gamma=60.00
Last column: nearest neighbours and their distance in Å.
Sites, in units of the cell vectors:
Ac 0.5000 0.5000 0.5000  4 Br 3.30, 4 Ge 3.30
Ge 0.2500 0.2500 0.2500  4 Ac 3.30, 4 Ce 3.30
Br 0.7500 0.7500 0.7500  4 Ac 3.30, 4 Ce 3.30
Ce 0.0000 0.0000 0.0000  4 Ge 3.30, 4 Br 3.30

(12)
Entry from Alexandria via LeMat-Bulk: a relaxed Sm2YMg crystal (PBE).

Total magnetic moment   0.0 μB per formula unit
Energy relative to the elements   -0.03 eV/atom
Final energy   -4.40 eV/atom
Energy relative to the lowest polymorph listed for this composition   9 meV per atom

Unit cell a=3.7119 b=3.7119 c=8.9764 alpha=90.00 beta=90.00 gamma=90.00
Last column: nearest neighbours and their distance in Å.
Sites, in units of the cell vectors:
Y 0.5000 0.5000 0.5000  8 Sm 3.59, 4 Y 3.71
Mg 0.5000 0.5000 0.0000  8 Sm 3.32, 4 Mg 3.71
Sm 0.0000 0.0000 0.7730  4 Mg 3.32, 4 Y 3.59, 4 Sm 3.71
Sm 0.0000 0.0000 0.2270  4 Mg 3.32, 4 Y 3.59, 4 Sm 3.71

What is the total magnetic moment in the twelfth record? 0.0 μB per formula unit

Which formula does entry 12 have? Sm2YMg